Entry 1:
# PBE-GGA AlRe3Se, optimized geometry
data_AlRe3Se
_chemical_formula_sum 'Al1 Re3 Se1'
_cell_length_a 4.524
_cell_length_b 4.524
_cell_length_c 4.524
_cell_angle_alpha 90.00
_cell_angle_beta 90.00
_cell_angle_gamma 90.00
_space_group_name_H-M_alt 'P m -3 m'
_space_group_IT_number 221
_space_group_name_Hall '-P 4 2 3'
loop_
_atom_site_label
_atom_site_fract_x
_atom_site_fract_y
_atom_site_fract_z
Al1 0.000 0.000 0.000
Re1 0.000 0.500 0.500
Se1 0.500 0.500 0.500
# Total magnetization in μB per cell: 0.00

Entry 2:
# PBE-GGA AlReSe, optimized geometry
data_AlReSe
_chemical_formula_sum 'Al2 Re2 Se2'
_cell_length_a 3.057
_cell_length_b 3.057
_cell_length_c 10.924
_cell_angle_alpha 90.00
_cell_angle_beta 90.00
_cell_angle_gamma 90.00
_space_group_name_H-M_alt 'I 4 m m'
_space_group_IT_number 107
_space_group_name_Hall 'I 4 -2'
loop_
_atom_site_label
_atom_site_fract_x
_atom_site_fract_y
_atom_site_fract_z
Al1 0.000 0.000 0.000
Re1 0.000 0.000 0.646
Se1 0.000 0.000 0.278
# Total magnetization in μB per cell: 0.00

Entry 3:
# PBE-GGA AlReSe, optimized geometry
data_AlReSe
_chemical_formula_sum 'Al4 Re4 Se4'
_cell_length_a 2.953
_cell_length_b 4.930
_cell_length_c 15.064
_cell_angle_alpha 90.00
_cell_angle_beta 90.00
_cell_angle_gamma 90.00
_space_group_name_H-M_alt 'F m m 2'
_space_group_IT_number 42
_space_group_name_Hall 'F 2 -2'
loop_
_atom_site_label
_atom_site_fract_x
_atom_site_fract_y
_atom_site_fract_z
Al1 0.000 0.000 0.000
Re1 0.000 0.000 0.648
Se1 0.000 0.000 0.282
# Total magnetization in μB per cell: 0.00

Entry 4:
# PBE-GGA AlReSe, optimized geometry
data_AlReSe
_chemical_formula_sum 'Al4 Re4 Se4'
_cell_length_a 6.004
_cell_length_b 6.004
_cell_length_c 6.004
_cell_angle_alpha 90.00
_cell_angle_beta 90.00
_cell_angle_gamma 90.00
_space_group_name_H-M_alt 'F -4 3 m'
_space_group_IT_number 216
_space_group_name_Hall 'F -4 2 3'
loop_
_atom_site_label
_atom_site_fract_x
_atom_site_fract_y
_atom_site_fract_z
Al1 0.000 0.000 0.000
Re1 0.000 0.000 0.500
Se1 0.250 0.250 0.750
# Total magnetization in μB per cell: 4.20

Entry 5:
# PBE-GGA AlRe2Se, optimized geometry
data_AlRe2Se
_chemical_formula_sum 'Al2 Re4 Se2'
_cell_length_a 8.775
_cell_length_b 2.873
_cell_length_c 4.941
_cell_angle_alpha 90.00
_cell_angle_beta 101.62
_cell_angle_gamma 90.00
_space_group_name_H-M_alt 'C 1 2/m 1'
_space_group_IT_number 12
loop_
_space_group_symop_operation_xyz
'x,y,z'
'-x,-y,-z'
'-x,y,-z'
'x,-y,z'
'x+1/2,y+1/2,z'
'-x+1/2,-y+1/2,-z'
'-x+1/2,y+1/2,-z'
'x+1/2,-y+1/2,z'
loop_
_atom_site_label
_atom_site_fract_x
_atom_site_fract_y
_atom_site_fract_z
Al1 0.000 0.000 0.000
Re1 0.239 0.500 0.250
Se1 0.000 0.500 0.500
# Total magnetization in μB per cell: 0.00

Entry 6:
# PBE-GGA AlReSe, optimized geometry
data_AlReSe
_chemical_formula_sum 'Al1 Re1 Se1'
_cell_length_a 4.3621
_cell_length_b 4.3621
_cell_length_c 2.9346
_cell_angle_alpha 90.00
_cell_angle_beta 90.00
_cell_angle_gamma 120.00
_space_group_name_H-M_alt 'P -6 m 2'
_space_group_IT_number 187
_space_group_name_Hall 'P -6 2'
loop_
_atom_site_label
_atom_site_fract_x
_atom_site_fract_y
_atom_site_fract_z
Al1 0.0000 0.0000 0.0000
Re1 0.3333 0.6667 0.5000
Se1 0.6667 0.3333 0.5000
# Total magnetization in μB per cell: 0.00

Entry 7:
# PBE-GGA AlRe4Se, optimized geometry
data_AlRe4Se
_chemical_formula_sum 'Al4 Re16 Se4'
_cell_length_a 7.383
_cell_length_b 7.383
_cell_length_c 7.383
_cell_angle_alpha 90.00
_cell_angle_beta 90.00
_cell_angle_gamma 90.00
_space_group_name_H-M_alt 'F -4 3 m'
_space_group_IT_number 216
_space_group_name_Hall 'F -4 2 3'
loop_
_atom_site_label
_atom_site_fract_x
_atom_site_fract_y
_atom_site_fract_z
Al1 0.000 0.000 0.000
Re1 0.124 0.124 0.624
Se1 0.250 0.250 0.250
# Total magnetization in μB per cell: 0.00

Entry 8:
# PBE-GGA AlRe2Se, optimized geometry
data_AlRe2Se
_chemical_formula_sum 'Al2 Re4 Se2'
_cell_length_a 3.045
_cell_length_b 4.100
_cell_length_c 10.077
_cell_angle_alpha 90.00
_cell_angle_beta 90.00
_cell_angle_gamma 90.00
_space_group_name_H-M_alt 'I m m 2'
_space_group_IT_number 44
loop_
_space_group_symop_operation_xyz
'x,y,z'
'-x,-y,z'
'-x,y,z'
'x,-y,z'
'x+1/2,y+1/2,z+1/2'
'-x+1/2,-y+1/2,z+1/2'
'-x+1/2,y+1/2,z+1/2'
'x+1/2,-y+1/2,z+1/2'
loop_
_atom_site_label
_atom_site_fract_x
_atom_site_fract_y
_atom_site_fract_z
Al1 0.000 0.000 0.000
Re1 0.000 0.000 0.542
Re2 0.000 0.500 0.815
Se1 0.000 0.500 0.245
# Total magnetization in μB per cell: 0.00

Entry 9:
# PBE-GGA AlRe2Se, optimized geometry
data_AlRe2Se
_chemical_formula_sum 'Al2 Re4 Se2'
_cell_length_a 5.219
_cell_length_b 9.680
_cell_length_c 3.220
_cell_angle_alpha 90.00
_cell_angle_beta 126.56
_cell_angle_gamma 90.00
_space_group_name_H-M_alt 'C 1 2/m 1'
_space_group_IT_number 12
loop_
_space_group_symop_operation_xyz
'x,y,z'
'-x,-y,-z'
'-x,y,-z'
'x,-y,z'
'x+1/2,y+1/2,z'
'-x+1/2,-y+1/2,-z'
'-x+1/2,y+1/2,-z'
'x+1/2,-y+1/2,z'
loop_
_atom_site_label
_atom_site_fract_x
_atom_site_fract_y
_atom_site_fract_z
Al1 0.000 0.000 0.000
Re1 0.250 0.250 0.500
Se1 0.000 0.500 0.000
# Total magnetization in μB per cell: 0.00

Entry 10:
# PBE-GGA AlRe2Se, optimized geometry
data_AlRe2Se
_chemical_formula_sum 'Al1 Re2 Se1'
_cell_length_a 3.058
_cell_length_b 3.058
_cell_length_c 6.268
_cell_angle_alpha 90.00
_cell_angle_beta 90.00
_cell_angle_gamma 90.00
_space_group_name_H-M_alt 'P 4/m m m'
_space_group_IT_number 123
_space_group_name_Hall '-P 4 2'
loop_
_atom_site_label
_atom_site_fract_x
_atom_site_fract_y
_atom_site_fract_z
Al1 0.000 0.000 0.000
Re1 0.500 0.500 0.251
Se1 0.000 0.000 0.500
# Total magnetization in μB per cell: 0.00

Entry 11:
# PBE-GGA Al4ReSe, optimized geometry
data_Al4ReSe
_chemical_formula_sum 'Al16 Re4 Se4'
_cell_length_a 7.267
_cell_length_b 7.267
_cell_length_c 7.267
_cell_angle_alpha 90.00
_cell_angle_beta 90.00
_cell_angle_gamma 90.00
_space_group_name_H-M_alt 'F -4 3 m'
_space_group_IT_number 216
_space_group_name_Hall 'F -4 2 3'
loop_
_atom_site_label
_atom_site_fract_x
_atom_site_fract_y
_atom_site_fract_z
Al1 0.124 0.124 0.124
Re1 0.250 0.250 0.750
Se1 0.000 0.000 0.500
# Total magnetization in μB per cell: 0.00

Entry 12:
# PBE-GGA AlRe2Se, optimized geometry
data_AlRe2Se
_chemical_formula_sum 'Al1 Re2 Se1'
_cell_length_a 2.992
_cell_length_b 4.471
_cell_length_c 4.511
_cell_angle_alpha 90.00
_cell_angle_beta 90.00
_cell_angle_gamma 90.00
_space_group_name_H-M_alt 'P m m 2'
_space_group_IT_number 25
loop_
_space_group_symop_operation_xyz
'x,y,z'
'-x,-y,z'
'-x,y,z'
'x,-y,z'
loop_
_atom_site_label
_atom_site_fract_x
_atom_site_fract_y
_atom_site_fract_z
Al1 0.000 0.000 0.000
Re1 0.000 0.500 0.698
Re2 0.500 0.000 0.501
Se1 0.500 0.500 0.181
# Total magnetization in μB per cell: 0.00

| no. | formation energy from raw total energies (eV/atom) |
| --- | --- |
| 1 | 1.618 |
| 2 | 0.141 |
| 3 | 0.449 |
| 4 | 0.915 |
| 5 | 0.323 |
| 6 | 0.334 |
| 7 | 0.719 |
| 8 | 0.317 |
| 9 | 0.546 |
| 10 | 0.311 |
| 11 | 0.346 |
| 12 | 0.177 |